[1]
Below is an optimized crystal structure of BaSi2Pt, with properties calculated at the GGA-PBE level.

Cell and atoms, written as CIF:
```
data_BaSi2Pt
_symmetry_space_group_name_H-M 'I 4 m m'
_symmetry_Int_Tables_number 107
_symmetry_space_group_name_Hall 'I 4 -2'
_cell_length_a 4.260
_cell_length_b 4.260
_cell_length_c 11.543
_cell_angle_alpha 90.00
_cell_angle_beta 90.00
_cell_angle_gamma 90.00
loop_
_atom_site_label
_atom_site_type_symbol
_atom_site_fract_x
_atom_site_fract_y
_atom_site_fract_z
Ba1 Ba 0.000 0.000 0.000
Si1 Si 0.000 0.500 0.264
Pt1 Pt 0.000 0.000 0.670
```



[2]
Below is an optimized crystal structure of BaSrSiPt, with properties calculated at the GGA-PBE level.

Cell and atoms, written as CIF:
```
data_BaSrSiPt
_symmetry_space_group_name_H-M 'C 1 m 1'
_symmetry_Int_Tables_number 8
_cell_length_a 7.492
_cell_length_b 4.320
_cell_length_c 8.927
_cell_angle_alpha 90.00
_cell_angle_beta 106.34
_cell_angle_gamma 90.00
loop_
_symmetry_equiv_pos_as_xyz
'x,y,z'
'x,-y,z'
'x+1/2,y+1/2,z'
'x+1/2,-y+1/2,z'
loop_
_atom_site_label
_atom_site_type_symbol
_atom_site_fract_x
_atom_site_fract_y
_atom_site_fract_z
Ba1 Ba 0.000 0.000 0.000
Sr1 Sr 0.332 0.500 0.499
Si1 Si 0.246 0.000 0.739
Pt1 Pt 0.078 0.500 0.735
```



[3]
Below is an optimized crystal structure of Ba2TbSi3Pt12, with properties calculated at the GGA-PBE level.

Cell and atoms, written as CIF:
```
data_Ba2TbSi3Pt12
_symmetry_space_group_name_H-M 'R -3 m'
_symmetry_Int_Tables_number 166
_symmetry_space_group_name_Hall '-R 3 2"'
_cell_length_a 8.4712
_cell_length_b 8.4712
_cell_length_c 18.6708
_cell_angle_alpha 90.00
_cell_angle_beta 90.00
_cell_angle_gamma 120.00
loop_
_atom_site_label
_atom_site_type_symbol
_atom_site_fract_x
_atom_site_fract_y
_atom_site_fract_z
Ba1 Ba 0.0000 0.0000 0.1017
Tb1 Tb 0.0000 0.0000 0.5000
Si1 Si 0.0000 0.5000 0.0000
Pt1 Pt 0.0192 0.5096 0.8748
Pt2 Pt 0.0463 0.5231 0.3649
```



[4]
Below is an optimized crystal structure of Ba2TlSiPt, with properties calculated at the GGA-PBE level.

Cell and atoms, written as CIF:
```
data_Ba2TlSiPt
_symmetry_space_group_name_H-M 'P 4/m m m'
_symmetry_Int_Tables_number 123
_symmetry_space_group_name_Hall '-P 4 2'
_cell_length_a 6.266
_cell_length_b 6.266
_cell_length_c 4.603
_cell_angle_alpha 90.00
_cell_angle_beta 90.00
_cell_angle_gamma 90.00
loop_
_atom_site_label
_atom_site_type_symbol
_atom_site_fract_x
_atom_site_fract_y
_atom_site_fract_z
Ba1 Ba 0.000 0.500 0.000
Tl1 Tl 0.000 0.000 0.500
Si1 Si 0.500 0.500 0.500
Pt1 Pt 0.500 0.500 0.000
```



[5]
Below is an optimized crystal structure of Ba2USi3Pt12, with properties calculated at the GGA-PBE level.

Cell and atoms, written as CIF:
```
data_Ba2USi3Pt12
_symmetry_space_group_name_H-M 'R -3 m'
_symmetry_Int_Tables_number 166
_symmetry_space_group_name_Hall '-R 3 2"'
_cell_length_a 8.3360
_cell_length_b 8.3360
_cell_length_c 19.5137
_cell_angle_alpha 90.00
_cell_angle_beta 90.00
_cell_angle_gamma 120.00
loop_
_atom_site_label
_atom_site_type_symbol
_atom_site_fract_x
_atom_site_fract_y
_atom_site_fract_z
Ba1 Ba 0.0000 0.0000 0.1032
U1 U 0.0000 0.0000 0.5000
Si1 Si 0.0000 0.5000 0.0000
Pt1 Pt 0.0072 0.5036 0.8773
Pt2 Pt 0.0468 0.5234 0.3657
```



[6]
Below is an optimized crystal structure of BaVSiPt2, with properties calculated at the GGA-PBE level.

Cell and atoms, written as CIF:
```
data_BaVSiPt2
_symmetry_space_group_name_H-M 'P 4/m m m'
_symmetry_Int_Tables_number 123
_symmetry_space_group_name_Hall '-P 4 2'
_cell_length_a 4.716
_cell_length_b 4.716
_cell_length_c 5.588
_cell_angle_alpha 90.00
_cell_angle_beta 90.00
_cell_angle_gamma 90.00
loop_
_atom_site_label
_atom_site_type_symbol
_atom_site_fract_x
_atom_site_fract_y
_atom_site_fract_z
Ba1 Ba 0.000 0.000 0.000
V1 V 0.000 0.000 0.500
Si1 Si 0.500 0.500 0.000
Pt1 Pt 0.000 0.500 0.500
```



Number 1: M_tot 0.0 μB per cell, energy -5.03 eV per atom. Number 2: M_tot 0.0 μB per cell, energy -4.47 eV per atom. Number 3: M_tot 0.0 μB per cell, energy -5.82 eV per atom. Number 4: M_tot 0.0 μB per cell, energy -4.02 eV per atom. Number 5: M_tot 1.4 μB per cell, energy -6.19 eV per atom. Number 6: M_tot 0.7 μB per cell, energy -4.93 eV per atom.